Record 1
Below is a relaxed CoTcO2F crystal, with properties calculated at the GGA-PBEsol level.

The space group is P4/mmm (No. 123) and the conventional cell measures 3.735, 3.735 and 3.818 Å, with angles of 90.00, 90.00 and 90.00 degrees. The inequivalent atoms are Co at (0.000, 0.000, 0.000), Tc at (0.500, 0.500, 0.500), O at (0.000, 0.500, 0.000) and F at (0.000, 0.000, 0.500).

=====

Record 2
Below is a relaxed CoTeO2F crystal, with properties calculated at the GGA-PBEsol level.

The space group is P4/mmm (No. 123) and the conventional cell measures 3.829, 3.829 and 3.825 Å, with angles of 90.00, 90.00 and 90.00 degrees. The inequivalent atoms are Co at (0.000, 0.000, 0.000), Te at (0.500, 0.500, 0.500), O at (0.000, 0.500, 0.000) and F at (0.000, 0.000, 0.500).

=====

| no. | E_form (uncorrected) (kJ/mol of atoms) |
| --- | --- |
| 1 | -25.6 |
| 2 | -57.9 |